(1)
Here is a relaxed structure of TeAsRh2 from Alexandria. Energies are from GGA-PBE.

Computed properties:
crystal system = tetragonal
energy above the lowest structure with this stoichiometry = 0.000 eV per atom
calculated volume = 91 Å³/f.u.
ΔE_f (raw) = -0.373 eV/atom

Lattice parameters (Å, degrees): 4.0248 4.0248 5.6463 90.00 90.00 90.00
Element x y z (fractional)
Te 0.0000 0.0000 0.0000
As 0.5000 0.5000 0.4654
Rh 0.0000 0.5000 0.7093
Rh 0.5000 0.0000 0.7093

(2)
Here is a relaxed structure of TeAs2Rh2 from Alexandria. Energies are from GGA-PBE.

Computed properties:
crystal system = tetragonal
energy above the lowest structure with this stoichiometry = 0.035 eV per atom
calculated volume = 95 Å³/f.u.
ΔE_f (raw) = -0.100 eV/atom

Lattice parameters (Å, degrees): 6.5334 6.5334 6.5334 144.17 144.17 51.57
Element x y z (fractional)
Te 0.0000 0.0000 0.0000
As 0.2500 0.7500 0.5000
As 0.7500 0.2500 0.5000
Rh 0.3795 0.3795 0.0000
Rh 0.6205 0.6205 0.0000

(3)
Here is a relaxed structure of TeAs2Rh2 from Alexandria. Energies are from GGA-PBE.

Computed properties:
crystal system = tetragonal
energy above the lowest structure with this stoichiometry = 0.000 eV per atom
calculated volume = 91 Å³/f.u.
ΔE_f (raw) = -0.135 eV/atom

Lattice parameters (Å, degrees): 7.6260 7.6260 3.1270 90.00 90.00 90.00
Element x y z (fractional)
Te 0.0000 0.0000 0.0000
Te 0.5000 0.5000 0.0000
As 0.1367 0.3633 0.5000
As 0.3633 0.8633 0.5000
As 0.6367 0.1367 0.5000
As 0.8633 0.6367 0.5000
Rh 0.1319 0.6319 0.0000
Rh 0.3681 0.1319 0.0000
Rh 0.6319 0.8681 0.0000
Rh 0.8681 0.3681 0.0000

(4)
Here is a relaxed structure of TeAsRh2 from Alexandria. Energies are from GGA-PBE.

Computed properties:
crystal system = cubic
energy above the lowest structure with this stoichiometry = 0.326 eV per atom
calculated volume = 68 Å³/f.u.
ΔE_f (raw) = -0.047 eV/atom

Lattice parameters (Å, degrees): 4.5893 4.5893 4.5893 60.00 60.00 60.00
Element x y z (fractional)
Te 0.0000 0.0000 0.0000
As 0.5000 0.5000 0.5000
Rh 0.2500 0.2500 0.2500
Rh 0.7500 0.7500 0.7500

(5)
Here is a relaxed structure of Th4Te2AsRh from Alexandria. Energies are from GGA-PBE.

Computed properties:
crystal system = monoclinic
calculated volume = 235 Å³/f.u.
ΔE_f (raw) = -1.131 eV/atom

Lattice parameters (Å, degrees): 7.6069 4.1693 7.7894 90.00 107.81 90.00
Element x y z (fractional)
Th 0.2214 0.0000 0.2085
Th 0.2578 0.5000 0.7814
Th 0.7422 0.5000 0.2186
Th 0.7786 0.0000 0.7915
Te 0.0000 0.0000 0.5000
Te 0.5000 0.5000 0.5000
As 0.5000 0.0000 0.0000
Rh 0.0000 0.5000 0.0000

(6)
Here is a relaxed structure of Th6Te3AsRh2 from Alexandria. Energies are from GGA-PBE.

Computed properties:
crystal system = monoclinic
calculated volume = 353 Å³/f.u.
ΔE_f (raw) = -1.093 eV/atom

Lattice parameters (Å, degrees): 7.4109 7.4109 7.8133 99.14 99.14 119.77
Element x y z (fractional)
Th 0.0806 0.4296 0.7898
Th 0.2204 0.2204 0.2077
Th 0.4296 0.0806 0.7898
Th 0.5704 0.9194 0.2102
Th 0.7796 0.7796 0.7923
Th 0.9194 0.5704 0.2102
Te 0.0000 0.0000 0.5000
Te 0.3412 0.6588 0.5000
Te 0.6588 0.3412 0.5000
As 0.5000 0.5000 0.0000
Rh 0.1675 0.8325 0.0000
Rh 0.8325 0.1675 0.0000

(7)
Here is a relaxed structure of Tm3TeAs2Rh9 from Alexandria. Energies are from GGA-PBE.

Computed properties:
crystal system = trigonal
calculated volume = 312 Å³/f.u.
ΔE_f (raw) = -0.450 eV/atom

Lattice parameters (Å, degrees): 6.2295 6.2295 9.2852 90.00 90.00 120.00
Element x y z (fractional)
Tm 0.0000 0.0000 0.0000
Tm 0.3333 0.6667 0.7543
Tm 0.6667 0.3333 0.2457
Te 0.0000 0.0000 0.5000
As 0.3333 0.6667 0.1700
As 0.6667 0.3333 0.8300
Rh 0.0000 0.5000 0.0000
Rh 0.1428 0.2856 0.2728
Rh 0.1428 0.8572 0.2728
Rh 0.2856 0.1428 0.7272
Rh 0.5000 0.0000 0.0000
Rh 0.5000 0.5000 0.0000
Rh 0.7144 0.8572 0.2728
Rh 0.8572 0.1428 0.7272
Rh 0.8572 0.7144 0.7272

(8)
Here is a relaxed structure of Y3TeAs2Rh9 from Alexandria. Energies are from GGA-PBE.

Computed properties:
crystal system = trigonal
calculated volume = 314 Å³/f.u.
ΔE_f (raw) = -0.445 eV/atom

Lattice parameters (Å, degrees): 6.2275 6.2275 9.3535 90.00 90.00 120.00
Element x y z (fractional)
Y 0.0000 0.0000 0.0000
Y 0.3333 0.6667 0.7452
Y 0.6667 0.3333 0.2548
Te 0.0000 0.0000 0.5000
As 0.3333 0.6667 0.1688
As 0.6667 0.3333 0.8312
Rh 0.0000 0.5000 0.0000
Rh 0.1437 0.2875 0.2761
Rh 0.1437 0.8563 0.2761
Rh 0.2875 0.1437 0.7239
Rh 0.5000 0.0000 0.0000
Rh 0.5000 0.5000 0.0000
Rh 0.7125 0.8563 0.2761
Rh 0.8563 0.1437 0.7239
Rh 0.8563 0.7125 0.7239

(9)
Here is a relaxed structure of Y6Te3AsRh2 from Alexandria. Energies are from GGA-PBE.

Computed properties:
crystal system = monoclinic
calculated volume = 325 Å³/f.u.
ΔE_f (raw) = -1.164 eV/atom

Lattice parameters (Å, degrees): 7.2387 7.2387 7.5691 99.27 99.27 120.04
Element x y z (fractional)
Y 0.0880 0.4304 0.7875
Y 0.2294 0.2294 0.2116
Y 0.4304 0.0880 0.7875
Y 0.5696 0.9120 0.2125
Y 0.7706 0.7706 0.7884
Y 0.9120 0.5696 0.2125
Te 0.0000 0.0000 0.5000
Te 0.3364 0.6636 0.5000
Te 0.6636 0.3364 0.5000
As 0.5000 0.5000 0.0000
Rh 0.1670 0.8330 0.0000
Rh 0.8330 0.1670 0.0000

(10)
Here is a relaxed structure of Th2As4Rh3 from Alexandria. Energies are from GGA-PBE.

Computed properties:
crystal system = orthorhombic
ΔH_f (0 K) = -20.385 kcal/mol of atoms
calculated volume = 170 Å³/f.u.

Lattice parameters (Å, degrees): 8.0608 8.0608 7.6772 90.00 90.00 137.14
Element x y z (fractional)
Th 0.1175 0.8825 0.9225
Th 0.3825 0.6175 0.4225
Th 0.6175 0.3825 0.5775
Th 0.8825 0.1175 0.0775
As 0.1813 0.8187 0.5344
As 0.2028 0.2972 0.7500
As 0.2972 0.2028 0.2500
As 0.3187 0.6813 0.0344
As 0.6813 0.3187 0.9656
As 0.7028 0.7972 0.7500
As 0.7972 0.7028 0.2500
As 0.8187 0.1813 0.4656
Rh 0.0000 0.0000 0.5000
Rh 0.0338 0.4662 0.7500
Rh 0.4662 0.0338 0.2500
Rh 0.5000 0.5000 0.0000
Rh 0.5338 0.9662 0.7500
Rh 0.9662 0.5338 0.2500

(11)
Here is a relaxed structure of ThAsRh from Alexandria. Energies are from GGA-PBE.

Computed properties:
crystal system = tetragonal
ΔH_f (0 K) = -15.919 kcal/mol of atoms
calculated volume = 68 Å³/f.u.

Lattice parameters (Å, degrees): 5.2161 5.2161 5.2161 135.71 135.71 64.43
Element x y z (fractional)
Th 0.0000 0.0000 0.0000
As 0.3329 0.3329 0.0000
Rh 0.6172 0.6172 0.0000

(12)
Here is a relaxed structure of ThAsRh3 from Alexandria. Energies are from GGA-PBE.

Computed properties:
crystal system = orthorhombic
energy above the lowest structure with this stoichiometry = 0.568 eV per atom
ΔH_f (0 K) = -5.485 kcal/mol of atoms
calculated volume = 119 Å³/f.u.

Lattice parameters (Å, degrees): 7.6920 7.6920 4.9643 90.00 90.00 126.10
Element x y z (fractional)
Th 0.1143 0.8857 0.7500
Th 0.8857 0.1143 0.2500
As 0.3389 0.6611 0.7500
As 0.6611 0.3389 0.2500
Rh 0.1103 0.2674 0.7500
Rh 0.2674 0.1103 0.2500
Rh 0.5000 0.5000 0.0000
Rh 0.5000 0.5000 0.5000
Rh 0.7326 0.8897 0.7500
Rh 0.8897 0.7326 0.2500

(13)
Here is a relaxed structure of ThAs3Rh3 from Alexandria. Energies are from GGA-PBE.

Computed properties:
crystal system = cubic
ΔH_f (0 K) = -8.190 kcal/mol of atoms
calculated volume = 148 Å³/f.u.

Lattice parameters (Å, degrees): 6.6662 6.6662 6.6662 90.00 90.00 90.00
Element x y z (fractional)
Th 0.0000 0.0000 0.0000
Th 0.5000 0.5000 0.5000
As 0.0000 0.2500 0.5000
As 0.0000 0.7500 0.5000
As 0.2500 0.5000 0.0000
As 0.5000 0.0000 0.2500
As 0.5000 0.0000 0.7500
As 0.7500 0.5000 0.0000
Rh 0.0000 0.5000 0.2500
Rh 0.0000 0.5000 0.7500
Rh 0.2500 0.0000 0.5000
Rh 0.5000 0.2500 0.0000
Rh 0.5000 0.7500 0.0000
Rh 0.7500 0.0000 0.5000

(14)
Here is a relaxed structure of Th3As4Rh7 from Alexandria. Energies are from GGA-PBE.

Computed properties:
crystal system = monoclinic
ΔH_f (0 K) = -21.754 kcal/mol of atoms
calculated volume = 253 Å³/f.u.

Lattice parameters (Å, degrees): 8.1694 8.1694 9.6551 125.03 125.03 29.25
Element x y z (fractional)
Th 0.0000 0.0000 0.0000
Th 0.3288 0.3288 0.3345
Th 0.6712 0.6712 0.6655
As 0.1082 0.1082 0.8320
As 0.3399 0.3399 0.7356
As 0.6601 0.6601 0.2644
As 0.8918 0.8918 0.1680
Rh 0.0000 0.0000 0.5000
Rh 0.1700 0.1700 0.4286
Rh 0.3002 0.3002 0.9576
Rh 0.4922 0.4922 0.7154
Rh 0.5078 0.5078 0.2846
Rh 0.6998 0.6998 0.0424
Rh 0.8300 0.8300 0.5714

(15)
Here is a relaxed structure of ThAsRh3 from Alexandria. Energies are from GGA-PBE.

Computed properties:
crystal system = tetragonal
energy above the lowest structure with this stoichiometry = 0.000 eV per atom
ΔH_f (0 K) = -18.574 kcal/mol of atoms
calculated volume = 92 Å³/f.u.

Lattice parameters (Å, degrees): 6.1282 6.1282 6.1282 140.71 140.71 56.78
Element x y z (fractional)
Th 0.0000 0.0000 0.0000
As 0.6408 0.6408 0.0000
Rh 0.2582 0.7582 0.5000
Rh 0.4220 0.4220 0.0000
Rh 0.7582 0.2582 0.5000

(16)
Here is a relaxed structure of Th2As2Rh5 from Alexandria. Energies are from GGA-PBE.

Computed properties:
crystal system = tetragonal
ΔH_f (0 K) = -20.499 kcal/mol of atoms
calculated volume = 164 Å³/f.u.

Lattice parameters (Å, degrees): 4.2626 4.2626 9.0006 90.00 90.00 90.00
Element x y z (fractional)
Th 0.0000 0.0000 0.0000
Th 0.0000 0.0000 0.5000
As 0.5000 0.5000 0.1405
As 0.5000 0.5000 0.8595
Rh 0.0000 0.5000 0.2682
Rh 0.0000 0.5000 0.7318
Rh 0.5000 0.0000 0.2682
Rh 0.5000 0.0000 0.7318
Rh 0.5000 0.5000 0.5000

(17)
Here is a relaxed structure of Th2AsRh6 from Alexandria. Energies are from GGA-PBE.

Computed properties:
crystal system = cubic
ΔH_f (0 K) = -19.053 kcal/mol of atoms
calculated volume = 162 Å³/f.u.

Lattice parameters (Å, degrees): 6.1244 6.1244 6.1244 60.00 60.00 60.00
Element x y z (fractional)
Th 0.2500 0.2500 0.2500
Th 0.7500 0.7500 0.7500
As 0.0000 0.0000 0.0000
Rh 0.2715 0.2715 0.7285
Rh 0.2715 0.7285 0.2715
Rh 0.2715 0.7285 0.7285
Rh 0.7285 0.2715 0.2715
Rh 0.7285 0.2715 0.7285
Rh 0.7285 0.7285 0.2715

(18)
Here is a relaxed structure of Th2AsRh4 from Alexandria. Energies are from GGA-PBE.

Computed properties:
crystal system = monoclinic
ΔH_f (0 K) = -14.900 kcal/mol of atoms
calculated volume = 153 Å³/f.u.

Lattice parameters (Å, degrees): 4.8372 4.8372 7.1792 101.03 101.03 69.19
Element x y z (fractional)
Th 0.0680 0.0680 0.2700
Th 0.9320 0.9320 0.7300
As 0.5000 0.5000 0.0000
Rh 0.0000 0.5000 0.0000
Rh 0.2598 0.2598 0.6520
Rh 0.5000 0.0000 0.0000
Rh 0.7402 0.7402 0.3480

(19)
Here is a relaxed structure of Th4AsRh12 from Alexandria. Energies are from GGA-PBE.

Computed properties:
crystal system = cubic
ΔH_f (0 K) = -18.315 kcal/mol of atoms
calculated volume = 302 Å³/f.u.

Lattice parameters (Å, degrees): 7.3184 7.3184 7.3184 109.47 109.47 109.47
Element x y z (fractional)
Th 0.0000 0.0000 0.5000
Th 0.0000 0.5000 0.0000
Th 0.5000 0.0000 0.0000
Th 0.5000 0.5000 0.5000
As 0.0000 0.0000 0.0000
Rh 0.0000 0.2822 0.2822
Rh 0.0000 0.7178 0.7178
Rh 0.2500 0.5000 0.7500
Rh 0.2500 0.7500 0.5000
Rh 0.2822 0.0000 0.2822
Rh 0.2822 0.2822 0.0000
Rh 0.5000 0.2500 0.7500
Rh 0.5000 0.7500 0.2500
Rh 0.7178 0.0000 0.7178
Rh 0.7178 0.7178 0.0000
Rh 0.7500 0.2500 0.5000
Rh 0.7500 0.5000 0.2500

(20)
Here is a relaxed structure of ThAs2Rh5 from Alexandria. Energies are from GGA-PBE.

Computed properties:
crystal system = orthorhombic
ΔH_f (0 K) = -15.922 kcal/mol of atoms
calculated volume = 135 Å³/f.u.

Lattice parameters (Å, degrees): 6.3300 6.3300 6.3300 143.54 113.11 78.66
Element x y z (fractional)
Th 0.0000 0.0000 0.0000
As 0.2567 0.7567 0.5000
As 0.7433 0.2433 0.5000
Rh 0.1568 0.3577 0.7991
Rh 0.4414 0.6423 0.7991
Rh 0.5000 0.0000 0.5000
Rh 0.5586 0.3577 0.2009
Rh 0.8432 0.6423 0.2009